Record 1
Here is TbY2Sc7 after structural relaxation from the Alexandria database. Energies are from PBE.

Computed properties:
ρ, g/cm3: 3.4
Energy of formation from the pure elements, eV/atom: 0.60
N(E_F), states/eV/atom: 1.33

Unit cell a=9.4072 b=9.4072 c=4.9749 alpha=90.00 beta=90.00 gamma=133.17
Closest atoms and distances in Å follow each position.
Fractional coordinates of all 10 atoms:
Tb 0.0000 0.0000 0.0000  8 Sc 3.33
Y 0.2629 0.7371 0.5000  6 Sc 3.24-3.54
Y 0.7371 0.2629 0.5000  6 Sc 3.24-3.54
Sc 0.1010 0.2922 0.5000  2 Sc 2.81-2.94
Sc 0.2922 0.1010 0.5000  2 Sc 2.81-2.94
Sc 0.4087 0.5913 0.0000  3 Sc 2.94-3.15
Sc 0.5000 0.5000 0.5000  8 Sc 2.81-2.94
Sc 0.5913 0.4087 0.0000  3 Sc 2.94-3.15
Sc 0.7078 0.8990 0.5000  2 Sc 2.81-2.94
Sc 0.8990 0.7078 0.5000  2 Sc 2.81-2.94



Record 2
Here is Tb2Y3Sc3 after structural relaxation from the Alexandria database. Energies are from PBE.

Computed properties:
Excess energy over the best structure of this formula in the dataset, meV per atom: 0
ρ, g/cm3: 5.1
Energy of formation from the pure elements, eV/atom: 0.03
N(E_F), states/eV/atom: 1.63

Unit cell a=11.6677 b=11.6677 c=5.9811 alpha=104.59 beta=104.59 gamma=17.20
Closest atoms and distances in Å follow each position.
Fractional coordinates of all 8 atoms:
Tb 0.2465 0.2465 0.2417  3 Sc 3.40-3.50, 6 Tb 3.42-3.52, 3 Y 3.44-3.53
Tb 0.7535 0.7535 0.7583  3 Sc 3.40-3.50, 6 Tb 3.42-3.52, 3 Y 3.44-3.53
Y 0.0000 0.0000 0.0000  8 Sc 3.40-3.46, 4 Y 3.43-3.49
Y 0.1230 0.1230 0.4652  6 Sc 3.38-3.50, 3 Y 3.43-3.49, 3 Tb 3.44-3.53
Y 0.8770 0.8770 0.5348  6 Sc 3.38-3.50, 3 Y 3.43-3.49, 3 Tb 3.44-3.53
Sc 0.3766 0.3766 0.0416  3 Tb 3.40-3.50, 6 Y 3.40-3.50, 3 Sc 3.41-3.49
Sc 0.5000 0.5000 0.5000  8 Y 3.38-3.46, 4 Sc 3.41-3.49
Sc 0.6234 0.6234 0.9584  3 Tb 3.40-3.50, 6 Y 3.40-3.50, 3 Sc 3.41-3.49



Record 3
Here is Tb5Y2Sc2 after structural relaxation from the Alexandria database. Energies are from PBE.

Computed properties:
Excess energy over the best structure of this formula in the dataset, meV per atom: 156
ρ, g/cm3: 6.3
Energy of formation from the pure elements, eV/atom: 0.26
N(E_F), states/eV/atom: 1.65

Unit cell a=10.0423 b=10.0423 c=10.0423 alpha=79.23 beta=113.77 gamma=141.61
Closest atoms and distances in Å follow each position.
Fractional coordinates of all 18 atoms:
Tb 0.2470 0.0710 0.3180  5 Tb 3.30-3.54, 2 Sc 3.32-3.59, 2 Y 3.36-3.41
Tb 0.2470 0.4290 0.6760  5 Tb 3.30-3.54, 2 Sc 3.32-3.59, 2 Y 3.36-3.41
Tb 0.2558 0.6251 0.9256  2 Sc 3.09-3.18, 4 Tb 3.17-3.40
Tb 0.2558 0.8302 0.1307  2 Sc 3.09-3.18, 4 Tb 3.17-3.40
Tb 0.5629 0.4606 0.6023  2 Sc 3.15, 2 Tb 3.31, 1 Y 3.51
Tb 0.6995 0.1251 0.8693  2 Sc 3.09-3.18, 4 Tb 3.17-3.40
Tb 0.6995 0.3302 0.0744  2 Sc 3.09-3.18, 4 Tb 3.17-3.40
Tb 0.7530 0.5710 0.3240  5 Tb 3.30-3.54, 2 Sc 3.32-3.59, 2 Y 3.36-3.41
Tb 0.7530 0.9290 0.6820  5 Tb 3.30-3.54, 2 Sc 3.32-3.59, 2 Y 3.36-3.41
Tb 0.8582 0.9606 0.3977  2 Sc 3.15, 2 Tb 3.31, 1 Y 3.51
Y 0.1775 0.9497 0.7278  5 Tb 3.51-3.64, 2 Sc 3.73, 2 Y 3.90
Y 0.2219 0.4497 0.2722  5 Tb 3.51-3.64, 2 Sc 3.73, 2 Y 3.90
Y 0.2664 0.2664 0.0000  6 Tb 3.36-3.62, 4 Sc 3.49-3.70
Y 0.2664 0.7664 0.5000  6 Tb 3.36-3.62, 4 Sc 3.49-3.70
Sc 0.7587 0.1930 0.3844  1 Sc 2.86, 3 Tb 3.09-3.18
Sc 0.7587 0.8743 0.0657  1 Sc 2.86, 3 Tb 3.09-3.18
Sc 0.8086 0.3743 0.6156  1 Sc 2.86, 3 Tb 3.09-3.18
Sc 0.8086 0.6930 0.9343  1 Sc 2.86, 3 Tb 3.09-3.18



Record 4
Here is Tb8YSc6 after structural relaxation from the Alexandria database. Energies are from PBE.

Computed properties:
ρ, g/cm3: 6.1
Energy of formation from the pure elements, eV/atom: 0.19
N(E_F), states/eV/atom: 1.56

Unit cell a=7.9116 b=7.9116 c=7.9116 alpha=72.85 beta=72.85 gamma=72.85
Closest atoms and distances in Å follow each position.
Fractional coordinates of all 15 atoms:
Tb 0.0919 0.0919 0.0919  3 Sc 3.03, 1 Tb 3.17
Tb 0.1353 0.2729 0.5653  3 Sc 3.19-3.35, 4 Tb 3.54-3.57
Tb 0.2729 0.5653 0.1353  3 Sc 3.19-3.35, 4 Tb 3.54-3.57
Tb 0.4347 0.8647 0.7271  3 Sc 3.19-3.35, 4 Tb 3.54-3.57
Tb 0.5653 0.1353 0.2729  3 Sc 3.19-3.35, 4 Tb 3.54-3.57
Tb 0.7271 0.4347 0.8647  3 Sc 3.19-3.35, 4 Tb 3.54-3.57
Tb 0.8647 0.7271 0.4347  3 Sc 3.19-3.35, 4 Tb 3.54-3.57
Tb 0.9081 0.9081 0.9081  3 Sc 3.03, 1 Tb 3.17
Y 0.5000 0.5000 0.5000  6 Sc 3.24
Sc 0.1132 0.5571 0.7900  4 Tb 3.03-3.35, 1 Y 3.24, 3 Sc 3.26-3.28
Sc 0.2100 0.8868 0.4429  4 Tb 3.03-3.35, 1 Y 3.24, 3 Sc 3.26-3.28
Sc 0.4429 0.2100 0.8868  4 Tb 3.03-3.35, 1 Y 3.24, 3 Sc 3.26-3.28
Sc 0.5571 0.7900 0.1132  4 Tb 3.03-3.35, 1 Y 3.24, 3 Sc 3.26-3.28
Sc 0.7900 0.1132 0.5571  4 Tb 3.03-3.35, 1 Y 3.24, 3 Sc 3.26-3.28
Sc 0.8868 0.4429 0.2100  4 Tb 3.03-3.35, 1 Y 3.24, 3 Sc 3.26-3.28



Record 5
Here is Tb8Y2Sc after structural relaxation from the Alexandria database. Energies are from PBE.

Computed properties:
Excess energy over the best structure of this formula in the dataset, meV per atom: 0
ρ, g/cm3: 7.1
Energy of formation from the pure elements, eV/atom: 0.17
N(E_F), states/eV/atom: 1.45

Unit cell a=9.2102 b=9.2102 c=5.8340 alpha=105.37 beta=105.37 gamma=122.17
Closest atoms and distances in Å follow each position.
Fractional coordinates of all 11 atoms:
Tb 0.1000 0.3323 0.6779  3 Tb 3.17-3.47, 2 Y 3.44-3.49
Tb 0.2020 0.7980 0.0000  1 Sc 3.26, 2 Y 3.38, 6 Tb 3.59-3.65
Tb 0.3323 0.1000 0.6779  3 Tb 3.17-3.47, 2 Y 3.44-3.49
Tb 0.4195 0.4195 0.2021  3 Tb 2.94-3.17, 1 Sc 3.24
Tb 0.5805 0.5805 0.7979  3 Tb 2.94-3.17, 1 Sc 3.24
Tb 0.6677 0.9000 0.3221  3 Tb 3.17-3.47, 2 Y 3.44-3.49
Tb 0.7980 0.2020 0.0000  1 Sc 3.26, 2 Y 3.38, 6 Tb 3.59-3.65
Tb 0.9000 0.6677 0.3221  3 Tb 3.17-3.47, 2 Y 3.44-3.49
Y 0.3080 0.6920 0.5000  10 Tb 3.38-3.76
Y 0.6920 0.3080 0.5000  10 Tb 3.38-3.76
Sc 0.0000 0.0000 0.0000  4 Tb 3.24-3.26



Record 6
Here is TbY5Sc after structural relaxation from the Alexandria database. Energies are from PBE.

Computed properties:
ρ, g/cm3: 4.9
Energy of formation from the pure elements, eV/atom: 0.14
N(E_F), states/eV/atom: 1.79

Unit cell a=6.0080 b=6.0113 c=6.4517 alpha=99.97 beta=99.92 gamma=99.27
Closest atoms and distances in Å follow each position.
Fractional coordinates of all 7 atoms:
Tb 0.0000 0.0000 0.0000  6 Y 3.08-3.45, 1 Sc 3.44
Y 0.4086 0.4099 0.0874  1 Tb 3.08, 4 Y 3.42-3.44, 1 Sc 3.45
Y 0.4293 0.8150 0.7656  2 Sc 3.31-3.63, 2 Tb 3.42-3.44, 5 Y 3.45-3.53
Y 0.5953 0.9815 0.3203  2 Sc 3.30-3.64, 6 Y 3.42-3.53, 1 Tb 3.45
Y 0.8149 0.4292 0.7665  2 Sc 3.30-3.63, 2 Tb 3.42-3.44, 5 Y 3.45-3.53
Y 0.9802 0.5964 0.3212  2 Sc 3.30-3.64, 6 Y 3.42-3.53, 1 Tb 3.45
Sc 0.2058 0.2064 0.5424  10 Y 3.30-3.69, 1 Tb 3.44



Record 7
Here is Tb7Y3Sc after structural relaxation from the Alexandria database. Energies are from PBE.

Computed properties:
Excess energy over the best structure of this formula in the dataset, meV per atom: 45
ρ, g/cm3: 6.5
Energy of formation from the pure elements, eV/atom: 0.19
N(E_F), states/eV/atom: 1.56

Unit cell a=7.0102 b=7.0102 c=8.5718 alpha=90.00 beta=90.00 gamma=120.00
Closest atoms and distances in Å follow each position.
Fractional coordinates of all 11 atoms:
Tb 0.0000 0.0000 0.0000  9 Tb 3.45-3.51, 3 Y 3.57
Tb 0.1653 0.3306 0.6728  7 Tb 3.45-3.53, 2 Y 3.49, 2 Sc 3.51
Tb 0.1653 0.8347 0.6728  7 Tb 3.45-3.53, 2 Y 3.49, 2 Sc 3.51
Tb 0.5017 0.0035 0.0022  1 Sc 3.43, 8 Tb 3.47-3.54, 2 Y 3.53
Tb 0.5017 0.4983 0.0022  1 Sc 3.43, 8 Tb 3.47-3.54, 2 Y 3.53
Tb 0.6694 0.8347 0.6728  7 Tb 3.45-3.53, 2 Y 3.49, 2 Sc 3.51
Tb 0.9965 0.4983 0.0022  1 Sc 3.43, 8 Tb 3.47-3.54, 2 Y 3.53
Y 0.3353 0.1677 0.3416  4 Y 3.48-3.53, 5 Tb 3.49-3.57, 1 Sc 3.51
Y 0.8323 0.1677 0.3416  4 Y 3.48-3.53, 5 Tb 3.49-3.57, 1 Sc 3.51
Y 0.8323 0.6647 0.3416  4 Y 3.48-3.53, 5 Tb 3.49-3.57, 1 Sc 3.51
Sc 0.6667 0.3333 0.6777  9 Tb 3.43-3.51, 3 Y 3.51



Record 8
Here is TbY2Sc4 after structural relaxation from the Alexandria database. Energies are from PBE.

Computed properties:
Excess energy over the best structure of this formula in the dataset, meV per atom: 0
ρ, g/cm3: 4.4
Energy of formation from the pure elements, eV/atom: 0.07
N(E_F), states/eV/atom: 1.31

Unit cell a=6.5247 b=8.4422 c=8.5172 alpha=115.78 beta=102.87 gamma=101.77
Closest atoms and distances in Å follow each position.
Fractional coordinates of all 14 atoms:
Tb 0.0000 0.0000 0.0000  8 Sc 3.17-3.41, 1 Y 3.38
Tb 0.2505 0.8410 0.6316  7 Sc 3.18-3.51, 2 Y 3.23-3.41
Y 0.2470 0.2634 0.8429  2 Tb 3.23-3.38, 3 Y 3.26-3.42, 4 Sc 3.31-3.52
Y 0.5010 0.7179 0.1513  7 Sc 3.10-3.39, 1 Y 3.33
Y 0.7427 0.4922 0.3778  8 Sc 3.19-3.46, 1 Tb 3.41, 1 Y 3.47
Y 0.7810 0.3365 0.9385  3 Y 3.26-3.47, 6 Sc 3.27-3.51, 1 Tb 3.61
Sc 0.0345 0.7919 0.2328  2 Tb 3.17-3.18, 4 Sc 3.22-3.54, 3 Y 3.26-3.39
Sc 0.0558 0.5876 0.8001  4 Sc 3.25-3.37, 4 Y 3.25-3.36, 2 Tb 3.26-3.28
Sc 0.2284 0.4544 0.2961  5 Y 3.19-3.52, 2 Tb 3.22-3.30, 3 Sc 3.30-3.54
Sc 0.4694 0.1673 0.4701  6 Sc 3.22-3.33, 2 Y 3.44-3.51
Sc 0.5252 0.0439 0.0701  3 Y 3.10-3.42, 3 Tb 3.21-3.35, 2 Sc 3.22-3.23
Sc 0.5472 0.6097 0.7452  2 Y 3.27-3.46, 6 Sc 3.28-3.56, 2 Tb 3.29-3.35
Sc 0.7383 0.9210 0.5883  4 Y 3.16-3.39, 3 Tb 3.24-3.51, 2 Sc 3.31-3.35
Sc 0.9587 0.1920 0.4317  7 Sc 3.22-3.35, 2 Y 3.29-3.31, 1 Tb 3.41



> Number 2 is which compound?

Tb2Y3Sc3